{
  "formula": "Pd6PtAu8",
  "functional": "PBE",
  "state": "optimized geometry",
  "m_tot_mub_per_cell": 0.000,
  "rho_g_cm3": 14.33,
  "space_group": "P-3, No. 147",
  "total_energy_ev_per_cell": -61.71,
  "delta_e_f_ev_per_fu": 1.7,
  "vol_a3_per_atom": 18.61,
  "cell": [[7.650, 0.000, 0.000], [-3.825, 6.625, 0.000], [0.000, 0.000, 5.508]],
  "species": ["Pd", "Pd", "Pd", "Pd", "Pd", "Pd", "Pt", "Au", "Au", "Au", "Au", "Au", "Au", "Au", "Au"],
  "frac_coords": [[0.031, 0.353, 0.133], [0.321, 0.969, 0.133], [0.353, 0.321, 0.867], [0.647, 0.679, 0.133], [0.679, 0.031, 0.867], [0.969, 0.647, 0.867], [0.000, 0.000, 0.000], [0.015, 0.331, 0.629], [0.316, 0.985, 0.629], [0.331, 0.316, 0.371], [0.333, 0.667, 0.865], [0.667, 0.333, 0.135], [0.669, 0.684, 0.629], [0.684, 0.015, 0.371], [0.985, 0.669, 0.371]]
}

{
  "formula": "BaScAg2",
  "functional": "PBE",
  "state": "optimized geometry",
  "m_tot_mub_per_cell": 0.000,
  "rho_g_cm3": 6.22,
  "space_group": "P4/mmm, No. 123",
  "total_energy_ev_per_cell": -14.08,
  "delta_e_f_ev_per_fu": -0.1,
  "vol_a3_per_atom": 26.57,
  "cell": [[5.421, 0.000, 0.000], [0.000, 5.421, 0.000], [0.000, 0.000, 3.616]],
  "species": ["Ba", "Sc", "Ag", "Ag"],
  "frac_coords": [[0.000, 0.000, 0.000], [0.500, 0.500, 0.000], [0.000, 0.500, 0.500], [0.500, 0.000, 0.500]]
}

{
  "formula": "MnP2AuCl",
  "functional": "PBE",
  "state": "optimized geometry",
  "m_tot_mub_per_cell": 0.000,
  "rho_g_cm3": 6.11,
  "space_group": "P4/mmm, No. 123",
  "total_energy_ev_per_cell": -23.34,
  "vol_a3_per_atom": 18.98,
  "raw_formation_energy_kj_per_mol_atoms": 34.21,
  "cell": [[4.166, 0.000, 0.000], [0.000, 4.166, 0.000], [0.000, 0.000, 5.467]],
  "species": ["Mn", "P", "P", "Au", "Cl"],
  "frac_coords": [[0.000, 0.000, 0.000], [0.000, 0.500, 0.000], [0.500, 0.000, 0.000], [0.000, 0.000, 0.500], [0.500, 0.500, 0.500]]
}

{
  "formula": "TaZnCd",
  "functional": "PBE",
  "state": "optimized geometry",
  "m_tot_mub_per_cell": 0.000,
  "rho_g_cm3": 9.12,
  "space_group": "F-43m, No. 216",
  "total_energy_ev_per_cell": -11.18,
  "delta_e_f_ev_per_fu": 2.9,
  "vol_a3_per_atom": 21.79,
  "cell": [[0.000, 3.197, 3.197], [3.197, 0.000, 3.197], [3.197, 3.197, 0.000]],
  "species": ["Ta", "Zn", "Cd"],
  "frac_coords": [[0.000, 0.000, 0.000], [0.750, 0.750, 0.750], [0.250, 0.250, 0.250]]
}

{
  "formula": "Pm12InPb7",
  "functional": "PBE",
  "state": "optimized geometry",
  "m_tot_mub_per_cell": 0.088,
  "rho_g_cm3": 8.55,
  "space_group": "R-3, No. 148",
  "total_energy_ev_per_cell": -92.11,
  "delta_e_f_ev_per_fu": -6.4,
  "vol_a3_per_atom": 32.08,
  "cell": [[7.464, 4.310, 3.324], [-7.464, 4.310, 3.324], [0.000, -8.619, 3.324]],
  "species": ["Pm", "Pm", "Pm", "Pm", "Pm", "Pm", "Pm", "Pm", "Pm", "Pm", "Pm", "Pm", "In", "Pb", "Pb", "Pb", "Pb", "Pb", "Pb", "Pb"],
  "frac_coords": [[0.116, 0.285, 0.830], [0.154, 0.467, 0.248], [0.170, 0.884, 0.715], [0.248, 0.154, 0.467], [0.285, 0.830, 0.116], [0.467, 0.248, 0.154], [0.533, 0.752, 0.846], [0.715, 0.170, 0.884], [0.752, 0.846, 0.533], [0.830, 0.116, 0.285], [0.846, 0.533, 0.752], [0.884, 0.715, 0.170], [0.500, 0.500, 0.500], [0.000, 0.000, 0.000], [0.147, 0.481, 0.609], [0.391, 0.853, 0.519], [0.481, 0.609, 0.147], [0.519, 0.391, 0.853], [0.609, 0.147, 0.481], [0.853, 0.519, 0.391]]
}

{
  "formula": "MnH3Pb",
  "functional": "PBE",
  "state": "optimized geometry",
  "m_tot_mub_per_cell": 2.890,
  "rho_g_cm3": 8.47,
  "space_group": "Pm-3m, No. 221",
  "total_energy_ev_per_cell": -21.55,
  "vol_a3_per_atom": 10.40,
  "cell": [[3.733, 0.000, 0.000], [0.000, 3.733, 0.000], [0.000, 0.000, 3.733]],
  "species": ["Mn", "H", "H", "H", "Pb"],
  "frac_coords": [[0.000, 0.000, 0.000], [0.000, 0.000, 0.500], [0.000, 0.500, 0.000], [0.500, 0.000, 0.000], [0.500, 0.500, 0.500]]
}

{
  "formula": "Tb3NpSb4",
  "functional": "PBE",
  "state": "optimized geometry",
  "m_tot_mub_per_cell": 7.871,
  "rho_g_cm3": 8.26,
  "space_group": "P2/c, No. 13",
  "total_energy_ev_per_cell": -101.10,
  "vol_a3_per_atom": 30.18,
  "raw_formation_energy_kj_per_mol_atoms": -87.20,
  "cell": [[7.626, 0.000, 0.000], [0.000, 8.814, 0.000], [-2.543, 0.000, 7.184]],
  "species": ["Tb", "Tb", "Tb", "Tb", "Tb", "Tb", "Np", "Np", "Sb", "Sb", "Sb", "Sb", "Sb", "Sb", "Sb", "Sb"],
  "frac_coords": [[0.000, 0.124, 0.250], [0.000, 0.373, 0.750], [0.000, 0.627, 0.250], [0.000, 0.876, 0.750], [0.500, 0.125, 0.750], [0.500, 0.875, 0.250], [0.500, 0.374, 0.250], [0.500, 0.626, 0.750], [0.250, 0.125, 0.001], [0.250, 0.875, 0.501], [0.251, 0.376, 0.500], [0.251, 0.624, 0.000], [0.749, 0.376, 0.000], [0.749, 0.624, 0.500], [0.750, 0.125, 0.499], [0.750, 0.875, 0.999]]
}

{
  "formula": "Sb3TeBr",
  "functional": "PBE",
  "state": "optimized geometry",
  "m_tot_mub_per_cell": 0.000,
  "rho_g_cm3": 5.52,
  "space_group": "Pm-3m, No. 221",
  "total_energy_ev_per_cell": -12.39,
  "vol_a3_per_atom": 34.45,
  "raw_formation_energy_kj_per_mol_atoms": 92.50,
  "cell": [[5.564, 0.000, 0.000], [0.000, 5.564, 0.000], [0.000, 0.000, 5.564]],
  "species": ["Sb", "Sb", "Sb", "Te", "Br"],
  "frac_coords": [[0.000, 0.000, 0.500], [0.000, 0.500, 0.000], [0.500, 0.000, 0.000], [0.500, 0.500, 0.500], [0.000, 0.000, 0.000]]
}

{
  "formula": "Cu2WAu",
  "functional": "PBE",
  "state": "optimized geometry",
  "m_tot_mub_per_cell": 0.000,
  "rho_g_cm3": 14.20,
  "space_group": "C2/m, No. 12",
  "total_energy_ev_per_cell": -23.07,
  "delta_e_f_ev_per_fu": 1.4,
  "vol_a3_per_atom": 14.85,
  "cell": [[4.398, -1.344, 0.000], [4.398, 1.344, 0.000], [-0.659, 0.000, 5.023]],
  "species": ["Cu", "Cu", "W", "Au"],
  "frac_coords": [[0.248, 0.248, 0.228], [0.752, 0.752, 0.772], [0.500, 0.500, 0.000], [0.000, 0.000, 0.500]]
}

{
  "formula": "ReIN2O",
  "functional": "PBE",
  "state": "optimized geometry",
  "m_tot_mub_per_cell": 0.000,
  "rho_g_cm3": 9.18,
  "space_group": "P4/mmm, No. 123",
  "total_energy_ev_per_cell": -32.72,
  "vol_a3_per_atom": 12.92,
  "raw_formation_energy_kj_per_mol_atoms": 55.72,
  "cell": [[4.075, 0.000, 0.000], [0.000, 4.075, 0.000], [0.000, 0.000, 3.889]],
  "species": ["Re", "I", "N", "N", "O"],
  "frac_coords": [[0.000, 0.000, 0.000], [0.500, 0.500, 0.500], [0.000, 0.500, 0.000], [0.500, 0.000, 0.000], [0.000, 0.000, 0.500]]
}

{
  "formula": "PmLuPa",
  "functional": "PBE",
  "state": "optimized geometry",
  "m_tot_mub_per_cell": 0.000,
  "rho_g_cm3": 10.54,
  "space_group": "P3m1, No. 156",
  "total_energy_ev_per_cell": -18.36,
  "delta_e_f_ev_per_fu": 0.4,
  "vol_a3_per_atom": 28.93,
  "cell": [[3.420, 0.000, 0.000], [-1.710, 2.962, 0.000], [0.000, 0.000, 8.566]],
  "species": ["Pm", "Lu", "Pa"],
  "frac_coords": [[0.000, 0.000, 0.000], [0.333, 0.667, 0.641], [0.667, 0.333, 0.327]]
}

{
  "formula": "Tb3Dy2Y6Er",
  "functional": "PBE",
  "state": "optimized geometry",
  "m_tot_mub_per_cell": 0.000,
  "rho_g_cm3": 6.53,
  "space_group": "C2/m, No. 12",
  "total_energy_ev_per_cell": -66.20,
  "delta_e_f_ev_per_fu": 0.2,
  "vol_a3_per_atom": 31.82,
  "cell": [[3.083, -5.333, 0.000], [3.083, 5.333, 0.000], [-2.043, 0.000, 11.613]],
  "species": ["Tb", "Tb", "Tb", "Dy", "Dy", "Y", "Y", "Y", "Y", "Y", "Y", "Er"],
  "frac_coords": [[0.000, 0.000, 0.000], [0.333, 0.667, 0.000], [0.667, 0.333, 0.000], [0.167, 0.833, 0.500], [0.833, 0.167, 0.500], [0.084, 0.417, 0.251], [0.250, 0.250, 0.749], [0.417, 0.084, 0.251], [0.583, 0.916, 0.749], [0.750, 0.750, 0.251], [0.916, 0.583, 0.749], [0.500, 0.500, 0.500]]
}

{
  "formula": "Tl2MoAu",
  "functional": "PBE",
  "state": "optimized geometry",
  "m_tot_mub_per_cell": 0.000,
  "rho_g_cm3": 12.97,
  "space_group": "Pmm2, No. 25",
  "total_energy_ev_per_cell": -17.07,
  "delta_e_f_ev_per_fu": 1.8,
  "vol_a3_per_atom": 22.47,
  "cell": [[3.011, 0.000, 0.000], [0.000, 3.039, 0.000], [0.000, 0.000, 9.820]],
  "species": ["Tl", "Tl", "Mo", "Au"],
  "frac_coords": [[0.000, 0.000, 0.000], [0.500, 0.500, 0.316], [0.000, 0.000, 0.550], [0.500, 0.500, 0.733]]
}

{
  "formula": "In2HgSe",
  "functional": "PBE",
  "state": "optimized geometry",
  "m_tot_mub_per_cell": 0.000,
  "rho_g_cm3": 7.37,
  "space_group": "Immm, No. 71",
  "total_energy_ev_per_cell": -9.77,
  "vol_a3_per_atom": 28.69,
  "raw_formation_energy_kj_per_mol_atoms": -12.31,
  "cell": [[-2.189, 3.080, 4.256], [2.189, -3.080, 4.256], [2.189, 3.080, -4.256]],
  "species": ["In", "In", "Hg", "Se"],
  "frac_coords": [[0.232, 0.232, 0.000], [0.768, 0.768, 0.000], [0.500, 0.000, 0.500], [0.000, 0.500, 0.500]]
}

{
  "formula": "ZnCr2CoH",
  "functional": "PBE",
  "state": "optimized geometry",
  "m_tot_mub_per_cell": 1.399,
  "rho_g_cm3": 7.69,
  "space_group": "P4/mmm, No. 123",
  "total_energy_ev_per_cell": -30.21,
  "vol_a3_per_atom": 9.90,
  "cell": [[3.596, 0.000, 0.000], [0.000, 3.596, 0.000], [0.000, 0.000, 3.829]],
  "species": ["Zn", "Cr", "Cr", "Co", "H"],
  "frac_coords": [[0.000, 0.000, 0.000], [0.000, 0.500, 0.500], [0.500, 0.000, 0.500], [0.500, 0.500, 0.000], [0.500, 0.500, 0.500]]
}

{
  "formula": "Sm6Pt2PbSe3",
  "functional": "PBE",
  "state": "optimized geometry",
  "m_tot_mub_per_cell": 0.000,
  "rho_g_cm3": 8.84,
  "space_group": "C2/m, No. 12",
  "total_energy_ev_per_cell": -70.62,
  "vol_a3_per_atom": 27.18,
  "raw_formation_energy_kj_per_mol_atoms": -129.14,
  "cell": [[9.538, -2.058, 0.000], [9.538, 2.058, 0.000], [-2.829, 0.000, 8.307]],
  "species": ["Sm", "Sm", "Sm", "Sm", "Sm", "Sm", "Pt", "Pt", "Pb", "Se", "Se", "Se"],
  "frac_coords": [[0.001, 0.001, 0.232], [0.325, 0.325, 0.936], [0.326, 0.326, 0.409], [0.674, 0.674, 0.591], [0.675, 0.675, 0.064], [0.999, 0.999, 0.768], [0.163, 0.163, 0.821], [0.837, 0.837, 0.179], [0.500, 0.500, 0.500], [0.164, 0.164, 0.326], [0.500, 0.500, 0.000], [0.836, 0.836, 0.674]]
}

{
  "formula": "Pm5Dy3Se8",
  "functional": "PBE",
  "state": "optimized geometry",
  "m_tot_mub_per_cell": 0.000,
  "rho_g_cm3": 7.56,
  "space_group": "R-3m, No. 166",
  "total_energy_ev_per_cell": -94.21,
  "vol_a3_per_atom": 25.33,
  "raw_formation_energy_kj_per_mol_atoms": -173.50,
  "cell": [[4.138, 2.389, 6.831], [-4.138, 2.389, 6.831], [0.000, -4.778, 6.831]],
  "species": ["Pm", "Pm", "Pm", "Pm", "Pm", "Dy", "Dy", "Dy", "Se", "Se", "Se", "Se", "Se", "Se", "Se", "Se"],
  "frac_coords": [[0.000, 0.000, 0.000], [0.000, 0.500, 0.500], [0.500, 0.000, 0.500], [0.500, 0.500, 0.000], [0.500, 0.500, 0.500], [0.000, 0.000, 0.500], [0.000, 0.500, 0.000], [0.500, 0.000, 0.000], [0.242, 0.750, 0.750], [0.246, 0.246, 0.246], [0.250, 0.250, 0.758], [0.250, 0.758, 0.250], [0.750, 0.242, 0.750], [0.750, 0.750, 0.242], [0.754, 0.754, 0.754], [0.758, 0.250, 0.250]]
}

{
  "formula": "Ac16Ir3Ru5",
  "functional": "PBE",
  "state": "optimized geometry",
  "m_tot_mub_per_cell": 0.000,
  "rho_g_cm3": 8.80,
  "space_group": "Cm, No. 8",
  "total_energy_ev_per_cell": -146.81,
  "delta_e_f_ev_per_fu": -8.1,
  "vol_a3_per_atom": 37.05,
  "cell": [[7.470, -4.315, 0.000], [7.470, 4.315, 0.000], [-0.041, 0.000, 13.793]],
  "species": ["Ac", "Ac", "Ac", "Ac", "Ac", "Ac", "Ac", "Ac", "Ac", "Ac", "Ac", "Ac", "Ac", "Ac", "Ac", "Ac", "Ir", "Ir", "Ir", "Ru", "Ru", "Ru", "Ru", "Ru"],
  "frac_coords": [[0.000, 0.000, 0.000], [0.001, 0.001, 0.500], [0.028, 0.491, 0.986], [0.167, 0.668, 0.731], [0.169, 0.169, 0.733], [0.335, 0.832, 0.230], [0.338, 0.338, 0.226], [0.491, 0.028, 0.986], [0.491, 0.491, 0.986], [0.516, 0.516, 0.485], [0.517, 0.978, 0.484], [0.668, 0.167, 0.731], [0.672, 0.672, 0.726], [0.832, 0.335, 0.230], [0.834, 0.834, 0.228], [0.978, 0.517, 0.484], [0.169, 0.169, 0.112], [0.336, 0.836, 0.613], [0.836, 0.336, 0.613], [0.169, 0.670, 0.114], [0.335, 0.335, 0.838], [0.668, 0.668, 0.339], [0.670, 0.169, 0.114], [0.837, 0.837, 0.614]]
}

{
  "formula": "MgScCd4",
  "functional": "PBE",
  "state": "optimized geometry",
  "m_tot_mub_per_cell": 0.000,
  "rho_g_cm3": 6.46,
  "space_group": "Immm, No. 71",
  "total_energy_ev_per_cell": -12.47,
  "delta_e_f_ev_per_fu": -0.9,
  "vol_a3_per_atom": 22.22,
  "cell": [[-2.430, 3.211, 4.272], [2.430, -3.211, 4.272], [2.430, 3.211, -4.272]],
  "species": ["Mg", "Sc", "Cd", "Cd", "Cd", "Cd"],
  "frac_coords": [[0.000, 0.000, 0.000], [0.500, 0.000, 0.500], [0.086, 0.334, 0.752], [0.418, 0.666, 0.752], [0.582, 0.334, 0.248], [0.914, 0.666, 0.248]]
}

{
  "formula": "YPb2",
  "functional": "PBE",
  "state": "optimized geometry",
  "m_tot_mub_per_cell": 0.000,
  "rho_g_cm3": 9.21,
  "space_group": "C2/m, No. 12",
  "total_energy_ev_per_cell": -29.25,
  "delta_e_f_ev_per_fu": -0.7,
  "vol_a3_per_atom": 30.26,
  "cell": [[5.944, -1.804, 0.000], [5.944, 1.804, 0.000], [-2.038, 0.000, 8.468]],
  "species": ["Y", "Y", "Pb", "Pb", "Pb", "Pb"],
  "frac_coords": [[0.178, 0.178, 0.165], [0.822, 0.822, 0.835], [0.142, 0.142, 0.548], [0.444, 0.444, 0.156], [0.556, 0.556, 0.844], [0.858, 0.858, 0.452]]
}